Record 1
A geometry-optimized Ce2ErF8 structure. Source: Alexandria, functional GGA-PBE.

Lattice parameters (Å, degrees): 6.6640 6.6640 7.3102 115.75 115.75 35.48
Fractional positions:
Ce (0.1857, 0.1857, 0.1914)
Ce (0.8143, 0.8143, 0.8086)
Er (0.0000, 0.0000, 0.5000)
F (0.0160, 0.0160, 0.8200)
F (0.1853, 0.1853, 0.5297)
F (0.2890, 0.2890, 0.9403)
F (0.4023, 0.4023, 0.3612)
F (0.5977, 0.5977, 0.6388)
F (0.7110, 0.7110, 0.0597)
F (0.8147, 0.8147, 0.4703)
F (0.9840, 0.9840, 0.1800)

The value obtained for the polymorph energy (0 for the lowest one) is 27.2 meV/atom. The calculation puts the formation energy from raw total energies at -3.836 eV/atom. As for the total DFT energy (no corrections): -73.6 eV per formula unit. The space group is C2/m (12).

Record 2
A geometry-optimized TbPuZnSb structure. Source: Alexandria, functional GGA-PBE.

Lattice parameters (Å, degrees): 7.3773 7.3773 7.3773 90.00 90.00 90.00
Fractional positions:
Tb (0.0000, 0.0000, 0.0000)
Tb (0.0000, 0.5000, 0.5000)
Tb (0.5000, 0.0000, 0.5000)
Tb (0.5000, 0.5000, 0.0000)
Pu (0.0000, 0.0000, 0.5000)
Pu (0.0000, 0.5000, 0.0000)
Pu (0.5000, 0.0000, 0.0000)
Pu (0.5000, 0.5000, 0.5000)
Zn (0.2500, 0.2500, 0.7500)
Zn (0.2500, 0.7500, 0.2500)
Zn (0.7500, 0.2500, 0.2500)
Zn (0.7500, 0.7500, 0.7500)
Sb (0.2500, 0.2500, 0.2500)
Sb (0.2500, 0.7500, 0.7500)
Sb (0.7500, 0.2500, 0.7500)
Sb (0.7500, 0.7500, 0.2500)

The calculation puts the formation energy from raw total energies at -0.412 eV/atom. As for the total DFT energy (no corrections): -26.0 eV per formula unit. The space group is F-43m (216).

> The lowest formation energy from raw total energies belongs to which entry?

Ce2ErF8